Density functional theory data (GGA-PBEsol) for a relaxed LaMoCl2 crystal.

Properties
ΔE_f (raw) in kcal/mol of atoms: -3.128
ΔE to the lowest computed polymorph in eV/f.u.: 2.05
Symmetry: P4/mmm, No. 123

Lattice parameters (Å, degrees): 3.527 3.527 6.692 90.00 90.00 90.00
Each line ends with the local moment (μB).
Fractional positions:
Mo: 0.500 0.500 0.500  3.07
Cl: 0.000 0.000 0.764  0.05
Cl: 0.000 0.000 0.236  0.05
La: 0.500 0.500 0.000  0.05

---

Density functional theory data (GGA-PBEsol) for a relaxed LaMo2Cl crystal.

Properties
ΔE_f (raw) in kcal/mol of atoms: 24.640
ΔE to the lowest computed polymorph in eV/f.u.: 3.36
Symmetry: Fm-3m, No. 225

Lattice parameters (Å, degrees): 4.628 4.628 4.628 60.00 60.00 60.00
Fractional positions:
Mo: 0.250 0.250 0.250
Mo: 0.750 0.750 0.750
Cl: 0.000 0.000 0.000
La: 0.500 0.500 0.500

---

Density functional theory data (GGA-PBEsol) for a relaxed La2MoCl crystal.

Properties
ΔE_f (raw) in kcal/mol of atoms: 3.569
Symmetry: Cmm2, No. 35

Lattice parameters (Å, degrees): 3.299 3.299 9.821 90.00 90.00 116.63
Fractional positions:
Mo: 0.000 0.000 0.492
Cl: 0.500 0.500 0.276
La: 0.000 0.000 0.036
La: 0.500 0.500 0.696

---

Density functional theory data (GGA-PBEsol) for a relaxed LaMoCl2 crystal.

Properties
ΔE_f (raw) in kcal/mol of atoms: -14.944
ΔE to the lowest computed polymorph in eV/f.u.: 0.00
Symmetry: Immm, No. 71

Lattice parameters (Å, degrees): 3.419 4.823 6.160 113.05 106.11 90.00
Fractional positions:
Mo: 0.000 0.500 0.000
Cl: 0.667 0.667 0.334
Cl: 0.333 0.333 0.666
La: 0.500 0.000 0.000

---

Density functional theory data (GGA-PBEsol) for a relaxed LaMoCl2 crystal.

Properties
ΔE_f (raw) in kcal/mol of atoms: -5.452
ΔE to the lowest computed polymorph in eV/f.u.: 1.65
Symmetry: Fm-3m, No. 225

Lattice parameters (Å, degrees): 4.824 4.824 4.824 60.00 60.00 60.00
Each line ends with the local moment (μB).
Fractional positions:
Mo: 0.500 0.500 0.500  2.51
Cl: 0.750 0.750 0.750  0.05
Cl: 0.250 0.250 0.250  0.05
La: 0.000 0.000 0.000  0.03

---

Density functional theory data (GGA-PBEsol) for a relaxed LaMoCl2 crystal.

Properties
ΔE_f (raw) in kcal/mol of atoms: -12.361
ΔE to the lowest computed polymorph in eV/f.u.: 0.45
Symmetry: C2/m, No. 12

Lattice parameters (Å, degrees): 3.488 4.980 5.784 91.02 107.55 90.00
Each line ends with the local moment (μB).
Fractional positions:
Mo: 0.000 0.500 0.000  1.54
Cl: 0.181 0.243 0.363  0.03
Cl: 0.819 0.757 0.637  0.03
La: 0.500 0.000 0.000  0.03

---

What is the ΔE_f (raw) in the fourth record?
-14.944 kcal/mol of atoms

---

Look up the ΔE_f (raw) of the second one.
24.640 kcal/mol of atoms

---

Which formula does entry 5 have?
LaMoCl2